(1)
An optimized crystal structure of Sm3YMg4, computed with GGA-PBE.

Geometry as extended XYZ:
```
8
Lattice="3.8331 0.0000 0.0000 0.0000 3.8331 0.0000 0.0000 0.0000 15.3898" Properties=species:S:1:pos:R:3 pbc="T T T"
Mg 0.0000 0.0000 9.6387
Mg 0.0000 0.0000 1.8720
Mg 0.0000 0.0000 5.7511
Mg 0.0000 0.0000 13.5177
Y 1.9165 1.9165 0.0000
Sm 1.9165 1.9165 3.8159
Sm 1.9165 1.9165 11.5739
Sm 1.9165 1.9165 7.6949
```

Summary:
The value obtained for the raw total energy is -3.476 eV per atom. The value obtained for the volume is 226.1 Å³/cell. The total magnetic moment comes out at 0.00 μB/atom. The value obtained for the formation energy is -0.10 eV per atom.

=====

(2)
An optimized crystal structure of Er5Zn2Hg2, computed with GGA-PBE.

Geometry as extended XYZ:
```
18
Lattice="7.3729 0.0000 0.0000 0.0000 7.3294 0.0000 0.0000 -3.6647 8.4209" Properties=species:S:1:pos:R:3 pbc="T T T"
Er 1.2940 2.3428 2.2437
Er 3.6865 3.6647 0.0000
Er 2.3924 6.0075 2.2437
Er 1.2940 -1.3219 6.1772
Er 6.0789 4.9866 2.2437
Er 4.9805 -2.3428 6.1772
Er 6.0789 1.3219 6.1772
Er 2.3924 2.3428 6.1772
Er 0.0000 0.0000 0.0000
Er 4.9805 1.3219 2.2437
Zn 6.4682 2.7848 0.0000
Zn 2.7817 0.8799 0.0000
Zn 0.9047 4.5446 0.0000
Zn 4.5912 6.4495 0.0000
Hg 3.6865 3.6647 3.7170
Hg 0.0000 3.6647 4.7039
Hg 3.6865 0.0000 4.7039
Hg 0.0000 0.0000 3.7170
```

Summary:
The value obtained for the raw total energy is -3.217 eV per atom. The value obtained for the volume is 455.1 Å³/cell. The total magnetic moment comes out at 0.00 μB/atom. The value obtained for the formation energy is -0.33 eV per atom.

=====

Question: Among the records above, which one has the highest volume?
Answer: Er5Zn2Hg2